First-principles (GGA+U) data for a geometry-optimized Ni2SnIrO6 structure, as listed in Alexandria via LeMat-Bulk.

## Properties
- Uncorrected energy: -5.43 eV per atom
- DOS at the Fermi energy: 3.6 states/eV per cell
- Space group: P4mm (99)

a b c (Å): 5.8355 5.8355 3.8768
angles (deg): 90.00 90.00 90.00
Fractional coordinates of all 10 atoms:
Ni1 0.0000 0.5000 0.0000
Ni2 0.5000 0.0000 0.0000
Sn1 0.0000 0.0000 0.8234
Ir1 0.5000 0.5000 0.8553
O1 0.0000 0.0000 0.3318
O2 0.2539 0.2539 0.9030
O3 0.2539 0.7461 0.9030
O4 0.5000 0.5000 0.3619
O5 0.7461 0.2539 0.9030
O6 0.7461 0.7461 0.9030